No. 1
# SrGa3Re, relaxed, DFT GGA-PBEsol
data_SrGa3Re
_chemical_formula_sum 'Sr1 Ga3 Re1'
_symmetry_space_group_name_H-M 'P 1'
_symmetry_Int_Tables_number 1
_symmetry_space_group_name_Hall 'P 1'
_cell_length_a 4.827
_cell_length_b 4.827
_cell_length_c 4.827
_cell_angle_alpha 90.00
_cell_angle_beta 90.00
_cell_angle_gamma 90.00
loop_
_atom_site_label
_atom_site_fract_x
_atom_site_fract_y
_atom_site_fract_z
Re1 0.000 0.000 0.000
Ga1 0.000 0.500 0.000
Ga2 0.000 0.000 0.500
Ga3 0.500 0.000 0.000
Sr1 0.500 0.500 0.500
# Total magnetization in μB/atom: 0.000
# Density of states at the Fermi level in states/eV/f.u.: 1.224
# Energy in eV/atom: -5.30

=====

No. 2
# Ti2Ga2Re, relaxed, DFT GGA-PBEsol
data_Ti2Ga2Re
_chemical_formula_sum 'Ti4 Ga4 Re2'
_symmetry_space_group_name_H-M 'P 1'
_symmetry_Int_Tables_number 1
_symmetry_space_group_name_Hall 'P 1'
_cell_length_a 3.370
_cell_length_b 6.629
_cell_length_c 6.629
_cell_angle_alpha 90.00
_cell_angle_beta 90.00
_cell_angle_gamma 90.00
loop_
_atom_site_label
_atom_site_fract_x
_atom_site_fract_y
_atom_site_fract_z
Re1 0.000 0.000 0.000
Re2 0.000 0.500 0.500
Ga1 0.000 0.371 0.871
Ga2 0.000 0.871 0.629
Ga3 0.000 0.629 0.129
Ga4 0.000 0.129 0.371
Ti1 0.500 0.175 0.675
Ti2 0.500 0.675 0.825
Ti3 0.500 0.825 0.325
Ti4 0.500 0.325 0.175
# Total magnetization in μB/atom: 0.000
# Density of states at the Fermi level in states/eV/f.u.: 1.897
# Energy in eV/atom: -7.77

=====

No. 3
# TlGa3Re, relaxed, DFT GGA-PBEsol
data_TlGa3Re
_chemical_formula_sum 'Tl1 Ga3 Re1'
_symmetry_space_group_name_H-M 'P 1'
_symmetry_Int_Tables_number 1
_symmetry_space_group_name_Hall 'P 1'
_cell_length_a 5.085
_cell_length_b 5.085
_cell_length_c 5.085
_cell_angle_alpha 90.00
_cell_angle_beta 90.00
_cell_angle_gamma 90.00
loop_
_atom_site_label
_atom_site_fract_x
_atom_site_fract_y
_atom_site_fract_z
Re1 0.500 0.500 0.500
Tl1 0.000 0.000 0.000
Ga1 0.000 0.500 0.000
Ga2 0.000 0.000 0.500
Ga3 0.500 0.000 0.000
# Total magnetization in μB/atom: 0.724
# Density of states at the Fermi level in states/eV/f.u.: 2.697
# Energy in eV/atom: -3.37